# 1
First-principles (GGA+U) data for KLiMoO4 after structural relaxation, as listed in the Alexandria database.

a b c (Å): 9.158 9.589 19.315
angles (deg): 60.08 90.00 90.00
Atoms (fractional coordinates):
Mo  0.216  0.472  0.417
Li  0.336  0.156  0.411
O  0.729  0.376  0.369
O  0.459  0.224  0.703
Mo  0.282  0.837  0.593
O  0.538  0.116  0.388
O  0.271  0.624  0.631
O  0.467  0.393  0.932
Li  0.336  0.823  0.259
O  0.153  0.284  0.651
O  0.651  0.105  0.856
O  0.843  0.693  0.048
O  0.740  0.027  0.709
O  0.740  0.421  0.029
O  0.462  0.884  0.612
O  0.750  0.057  0.513
O  0.033  0.393  0.432
O  0.747  0.731  0.698
O  0.744  0.392  0.188
O  0.256  0.608  0.812
O  0.244  0.608  0.312
K  0.961  0.194  0.075
O  0.157  0.307  0.952
O  0.253  0.269  0.302
Mo  0.716  0.528  0.083
K  0.039  0.806  0.925
Mo  0.284  0.472  0.917
Mo  0.784  0.528  0.583
O  0.247  0.269  0.802
O  0.847  0.716  0.349
O  0.760  0.421  0.529
Mo  0.718  0.163  0.407
Li  0.167  0.519  0.579
Li  0.664  0.844  0.589
O  0.750  0.057  0.013
O  0.771  0.376  0.869
O  0.240  0.579  0.471
O  0.657  0.693  0.548
Mo  0.782  0.163  0.907
K  0.034  0.851  0.413
Li  0.836  0.844  0.089
Li  0.164  0.823  0.759
O  0.967  0.607  0.568
Mo  0.772  0.813  0.763
O  0.753  0.731  0.198
Mo  0.728  0.813  0.263
O  0.541  0.776  0.297
K  0.012  0.509  0.748
K  0.988  0.491  0.252
Li  0.833  0.481  0.421
O  0.250  0.943  0.987
O  0.533  0.607  0.068
O  0.260  0.579  0.971
O  0.240  0.973  0.791
O  0.343  0.307  0.452
K  0.534  0.149  0.087
O  0.038  0.884  0.112
K  0.488  0.509  0.248
Li  0.664  0.177  0.741
K  0.539  0.194  0.575
O  0.959  0.776  0.797
O  0.229  0.624  0.131
Mo  0.218  0.837  0.093
K  0.966  0.149  0.587
Li  0.667  0.481  0.921
O  0.760  0.027  0.209
O  0.260  0.973  0.291
Li  0.164  0.156  0.911
Li  0.836  0.177  0.241
Mo  0.272  0.187  0.737
O  0.849  0.105  0.356
O  0.653  0.716  0.849
O  0.250  0.943  0.487
Mo  0.228  0.187  0.237
K  0.512  0.491  0.752
O  0.347  0.284  0.151
O  0.756  0.392  0.688
O  0.349  0.895  0.144
O  0.962  0.116  0.888
K  0.466  0.851  0.913
Li  0.333  0.519  0.079
O  0.041  0.224  0.203
K  0.461  0.806  0.425
O  0.151  0.895  0.644

Output
Volume   1470.2 Å³/cell
Final energy   -6.21 eV per atom
DOS at the Fermi energy   0.00 states/eV/f.u.
Magnetization   0.002 μB/f.u.


# 2
First-principles (GGA+U) data for KLiMoO4 after structural relaxation, as listed in the Alexandria database.

a b c (Å): 6.004 6.004 10.067
angles (deg): 90.00 90.00 120.00
Atoms (fractional coordinates):
Mo  0.667  0.333  0.791
O  0.495  0.505  0.228
Mo  0.333  0.667  0.291
Li  0.667  0.333  0.162
K  0.000  0.000  0.145
O  0.505  0.011  0.728
O  0.989  0.495  0.728
O  0.495  0.989  0.228
O  0.505  0.495  0.728
O  0.667  0.333  0.969
K  0.000  0.000  0.645
O  0.333  0.667  0.469
Li  0.333  0.667  0.662
O  0.011  0.505  0.228

Output
Volume   314.3 Å³/cell
Final energy   -6.14 eV per atom
DOS at the Fermi energy   0.00 states/eV/f.u.
Magnetization   0.000 μB/f.u.


# 3
First-principles (GGA+U) data for KLiMoO4 after structural relaxation, as listed in the Alexandria database.

a b c (Å): 5.734 5.734 5.865
angles (deg): 119.27 119.27 90.00
Atoms (fractional coordinates):
O  0.357  0.744  0.257
O  0.488  0.643  0.743
Li  0.500  0.500  0.000
O  0.256  0.101  0.743
K  0.000  0.000  0.000
O  0.899  0.512  0.257
Mo  0.250  0.750  0.500

Output
Volume   139.3 Å³/cell
Final energy   -6.16 eV per atom
DOS at the Fermi energy   0.00 states/eV/f.u.
Magnetization   0.134 μB/f.u.


Which of these has the highest magnetization?
number 3